Record 1
Material: PrTlHgPt
Method: DFT, PBE
State: relaxed

## Properties
Energy in eV per atom: -3.85

The structure in CIF format:
```
data_PrTlHgPt
_space_group_name_H-M_alt 'F -4 3 m'
_space_group_IT_number 216
_space_group_name_Hall 'F -4 2 3'
_cell_length_a 7.280
_cell_length_b 7.280
_cell_length_c 7.280
_cell_angle_alpha 90.00
_cell_angle_beta 90.00
_cell_angle_gamma 90.00
loop_
_atom_site_label
_atom_site_type_symbol
_atom_site_fract_x
_atom_site_fract_y
_atom_site_fract_z
Pr1 Pr 0.000 0.000 0.000
Tl1 Tl 0.000 0.000 0.500
Hg1 Hg 0.250 0.250 0.250
Pt1 Pt 0.250 0.250 0.750
```


Record 2
Material: PrZnHgPt
Method: DFT, PBE
State: relaxed

## Properties
Energy in eV per atom: -3.57

The structure in CIF format:
```
data_PrZnHgPt
_space_group_name_H-M_alt 'F -4 3 m'
_space_group_IT_number 216
_space_group_name_Hall 'F -4 2 3'
_cell_length_a 7.036
_cell_length_b 7.036
_cell_length_c 7.036
_cell_angle_alpha 90.00
_cell_angle_beta 90.00
_cell_angle_gamma 90.00
loop_
_atom_site_label
_atom_site_type_symbol
_atom_site_fract_x
_atom_site_fract_y
_atom_site_fract_z
Pr1 Pr 0.000 0.000 0.000
Zn1 Zn 0.000 0.000 0.500
Hg1 Hg 0.250 0.250 0.250
Pt1 Pt 0.250 0.250 0.750
```


Record 3
Material: PrPuHg6
Method: DFT, PBE
State: relaxed

## Properties
Energy in eV per atom: -2.88

The structure in CIF format:
```
data_PrPuHg6
_space_group_name_H-M_alt 'A m m 2'
_space_group_IT_number 38
_space_group_name_Hall 'A 2 -2'
_cell_length_a 5.123
_cell_length_b 6.779
_cell_length_c 11.744
_cell_angle_alpha 90.00
_cell_angle_beta 90.00
_cell_angle_gamma 90.00
loop_
_atom_site_label
_atom_site_type_symbol
_atom_site_fract_x
_atom_site_fract_y
_atom_site_fract_z
Pr1 Pr 0.000 0.000 0.000
Pu1 Pu 0.500 0.000 0.331
Hg1 Hg 0.000 0.000 0.498
Hg2 Hg 0.000 0.249 0.749
Hg3 Hg 0.500 0.000 0.828
Hg4 Hg 0.500 0.242 0.584
```


Record 4
Material: PrPu2Hg
Method: DFT, PBE
State: relaxed

## Properties
Energy in eV per atom: -8.45

The structure in CIF format:
```
data_PrPu2Hg
_space_group_name_H-M_alt 'P 4/m m m'
_space_group_IT_number 123
_space_group_name_Hall '-P 4 2'
_cell_length_a 4.566
_cell_length_b 4.566
_cell_length_c 5.310
_cell_angle_alpha 90.00
_cell_angle_beta 90.00
_cell_angle_gamma 90.00
loop_
_atom_site_label
_atom_site_type_symbol
_atom_site_fract_x
_atom_site_fract_y
_atom_site_fract_z
Pr1 Pr 0.000 0.000 0.000
Pu1 Pu 0.000 0.500 0.500
Hg1 Hg 0.500 0.500 0.000
```


Record 5
Material: PrPu2Hg3
Method: DFT, PBE
State: relaxed

## Properties
Energy in eV per atom: -5.95

The structure in CIF format:
```
data_PrPu2Hg3
_space_group_name_H-M_alt 'P -3 m 1'
_space_group_IT_number 164
_space_group_name_Hall '-P 3 2"'
_cell_length_a 5.3756
_cell_length_b 5.3756
_cell_length_c 6.5728
_cell_angle_alpha 90.00
_cell_angle_beta 90.00
_cell_angle_gamma 120.00
loop_
_atom_site_label
_atom_site_type_symbol
_atom_site_fract_x
_atom_site_fract_y
_atom_site_fract_z
Pr1 Pr 0.0000 0.0000 0.0000
Pu1 Pu 0.3333 0.6667 0.6444
Hg1 Hg 0.0000 0.0000 0.5000
Hg2 Hg 0.3333 0.6667 0.1544
```


Record 6
Material: Pr2PuHg
Method: DFT, PBE
State: relaxed

## Properties
Energy in eV per atom: -6.03

The structure in CIF format:
```
data_Pr2PuHg
_space_group_name_H-M_alt 'F m -3 m'
_space_group_IT_number 225
_space_group_name_Hall '-F 4 2 3'
_cell_length_a 7.820
_cell_length_b 7.820
_cell_length_c 7.820
_cell_angle_alpha 90.00
_cell_angle_beta 90.00
_cell_angle_gamma 90.00
loop_
_atom_site_label
_atom_site_type_symbol
_atom_site_fract_x
_atom_site_fract_y
_atom_site_fract_z
Pr1 Pr 0.250 0.250 0.250
Pu1 Pu 0.000 0.000 0.000
Hg1 Hg 0.000 0.000 0.500
```


Record 7
Material: PrPuHg5
Method: DFT, PBE
State: relaxed

## Properties
Energy in eV per atom: -3.10

The structure in CIF format:
```
data_PrPuHg5
_space_group_name_H-M_alt 'P m m m'
_space_group_IT_number 47
_space_group_name_Hall '-P 2 2'
_cell_length_a 4.368
_cell_length_b 5.047
_cell_length_c 8.901
_cell_angle_alpha 90.00
_cell_angle_beta 90.00
_cell_angle_gamma 90.00
loop_
_atom_site_label
_atom_site_type_symbol
_atom_site_fract_x
_atom_site_fract_y
_atom_site_fract_z
Pr1 Pr 0.000 0.000 0.000
Pu1 Pu 0.500 0.500 0.500
Hg1 Hg 0.000 0.500 0.247
Hg2 Hg 0.500 0.000 0.283
Hg3 Hg 0.500 0.500 0.000
```


Record 8
Material: PrPuHg3
Method: DFT, PBE
State: relaxed

## Properties
Energy in eV per atom: -4.12

The structure in CIF format:
```
data_PrPuHg3
_space_group_name_H-M_alt 'P 63/m m c'
_space_group_IT_number 194
_space_group_name_Hall '-P 6c 2c'
_cell_length_a 7.6130
_cell_length_b 7.6130
_cell_length_c 5.7931
_cell_angle_alpha 90.00
_cell_angle_beta 90.00
_cell_angle_gamma 120.00
loop_
_atom_site_label
_atom_site_type_symbol
_atom_site_fract_x
_atom_site_fract_y
_atom_site_fract_z
Pr1 Pr 0.3333 0.6667 0.2500
Pu1 Pu 0.0000 0.0000 0.0000
Hg1 Hg 0.2041 0.4083 0.7500
```


Record 9
Material: Pr2PuHg
Method: DFT, PBE
State: relaxed

## Properties
Energy in eV per atom: -6.08

The structure in CIF format:
```
data_Pr2PuHg
_space_group_name_H-M_alt 'R 3 m'
_space_group_IT_number 160
_space_group_name_Hall 'R 3 -2"'
_cell_length_a 3.6906
_cell_length_b 3.6906
_cell_length_c 32.0087
_cell_angle_alpha 90.00
_cell_angle_beta 90.00
_cell_angle_gamma 120.00
loop_
_atom_site_label
_atom_site_type_symbol
_atom_site_fract_x
_atom_site_fract_y
_atom_site_fract_z
Pr1 Pr 0.0000 0.0000 0.0000
Pr2 Pr 0.0000 0.0000 0.1749
Pu1 Pu 0.0000 0.0000 0.4199
Hg1 Hg 0.0000 0.0000 0.5877
```


Record 10
Material: Pr2PuHg
Method: DFT, PBE
State: relaxed

## Properties
Energy in eV per atom: -5.88

The structure in CIF format:
```
data_Pr2PuHg
_space_group_name_H-M_alt 'R -3 m'
_space_group_IT_number 166
_space_group_name_Hall '-R 3 2"'
_cell_length_a 3.5089
_cell_length_b 3.5089
_cell_length_c 35.7567
_cell_angle_alpha 90.00
_cell_angle_beta 90.00
_cell_angle_gamma 120.00
loop_
_atom_site_label
_atom_site_type_symbol
_atom_site_fract_x
_atom_site_fract_y
_atom_site_fract_z
Pr1 Pr 0.0000 0.0000 0.0935
Pu1 Pu 0.0000 0.0000 0.0000
Hg1 Hg 0.0000 0.0000 0.5000
```


Record 11
Material: Pr3PuHg4
Method: DFT, PBE
State: relaxed

## Properties
Energy in eV per atom: -4.11

The structure in CIF format:
```
data_Pr3PuHg4
_space_group_name_H-M_alt 'P 4/m m m'
_space_group_IT_number 123
_space_group_name_Hall '-P 4 2'
_cell_length_a 3.840
_cell_length_b 3.840
_cell_length_c 15.355
_cell_angle_alpha 90.00
_cell_angle_beta 90.00
_cell_angle_gamma 90.00
loop_
_atom_site_label
_atom_site_type_symbol
_atom_site_fract_x
_atom_site_fract_y
_atom_site_fract_z
Pr1 Pr 0.000 0.000 0.000
Pr2 Pr 0.000 0.000 0.253
Pu1 Pu 0.000 0.000 0.500
Hg1 Hg 0.500 0.500 0.126
Hg2 Hg 0.500 0.500 0.379
```


Record 12
Material: PrPuHg
Method: DFT, PBE
State: relaxed

## Properties
Energy in eV per atom: -6.57

The structure in CIF format:
```
data_PrPuHg
_space_group_name_H-M_alt 'I 4 m m'
_space_group_IT_number 107
_space_group_name_Hall 'I 4 -2'
_cell_length_a 3.634
_cell_length_b 3.634
_cell_length_c 13.364
_cell_angle_alpha 90.00
_cell_angle_beta 90.00
_cell_angle_gamma 90.00
loop_
_atom_site_label
_atom_site_type_symbol
_atom_site_fract_x
_atom_site_fract_y
_atom_site_fract_z
Pr1 Pr 0.000 0.000 0.000
Pu1 Pu 0.000 0.000 0.309
Hg1 Hg 0.000 0.000 0.659
```


| no. | DFT formation energy (eV/atom) | magnetization (Bohr magnetons per cell) | V (Å³/cell) |
| --- | --- | --- | --- |
| 1 | -0.48 | 0.0 | 385.9 |
| 2 | -0.47 | 0.0 | 348.3 |
| 3 | -0.26 | 11.9 | 407.9 |
| 4 | -0.01 | 12.6 | 110.7 |
| 5 | -0.22 | 12.1 | 164.5 |
| 6 | 0.02 | 25.0 | 478.3 |
| 7 | -0.16 | 5.8 | 196.2 |
| 8 | -0.12 | 12.3 | 290.9 |
| 9 | -0.03 | 19.3 | 377.6 |
| 10 | 0.17 | 19.6 | 381.3 |
| 11 | -0.38 | 7.2 | 226.4 |
| 12 | -0.10 | 12.5 | 176.5 |